Record 1
This record from Alexandria via LeMat-Bulk describes a PBEsol-optimized structure of Ca3CrO. The functional is SCAN.

Calculated values
The space-group type is No. 221. As for the total energy: -10.0381 eV/atom. For the uncorrected formation energy, the calculation gives 3.4 eV/f.u.

```
Ca3CrO
1.0
5.502 0.000 0.000
0.000 5.502 0.000
0.000 0.000 5.502
Ca O Cr
3 1 1
Direct
0.000 0.500 0.000 Ca
0.500 0.000 0.000 Ca
0.000 0.000 0.500 Ca
0.500 0.500 0.500 O
0.000 0.000 0.000 Cr
```



Record 2
This record from Alexandria via LeMat-Bulk describes a PBEsol-optimized structure of SnPd. The functional is SCAN.

Calculated values
The space-group type is No. 62. As for the total energy: -34.8488 eV/atom.

```
SnPd
1.0
-0.559 -2.527 -2.929
1.701 -4.616 3.658
-5.985 -0.772 1.809
Pd Sn
4 4
Direct
0.750 0.988 0.815 Pd
0.250 0.012 0.185 Pd
0.250 0.512 0.315 Pd
0.750 0.488 0.685 Pd
0.750 0.312 0.095 Sn
0.250 0.688 0.905 Sn
0.750 0.812 0.405 Sn
0.250 0.188 0.595 Sn
```



Record 3
This record from Alexandria via LeMat-Bulk describes a PBEsol-optimized structure of Ag2MoW. The functional is SCAN.

Calculated values
The space-group type is No. 139. As for the total energy: -41.1751 eV/atom.

```
Ag2MoW
1.0
3.745 0.000 0.000
0.000 3.745 0.000
-1.873 -1.873 4.482
Ag Mo W
2 1 1
Direct
0.750 0.250 0.500 Ag
0.250 0.750 0.500 Ag
0.500 0.500 0.000 Mo
0.000 0.000 0.000 W
```



Record 4
This record from Alexandria via LeMat-Bulk describes a PBEsol-optimized structure of InP3Br. The functional is SCAN.

Calculated values
The space-group type is No. 221. As for the total energy: -15.4455 eV/atom. For the uncorrected formation energy, the calculation gives 6.8 eV/f.u.

```
InP3Br
1.0
4.991 0.000 0.000
0.000 4.991 0.000
0.000 0.000 4.991
P In Br
3 1 1
Direct
0.500 0.000 0.000 P
0.000 0.500 0.000 P
0.000 0.000 0.500 P
0.000 0.000 0.000 In
0.500 0.500 0.500 Br
```



Record 5
This record from Alexandria via LeMat-Bulk describes a PBEsol-optimized structure of KBaCa2. The functional is SCAN.

Calculated values
The space-group type is No. 65. As for the total energy: -16.6851 eV/atom.

```
KBaCa2
1.0
-3.528 -1.432 -1.078
2.474 -3.044 0.516
-3.613 -0.759 12.835
Ca K Ba
2 1 1
Direct
0.000 0.000 0.240 Ca
0.000 0.000 0.760 Ca
0.500 0.500 0.500 K
0.500 0.500 0.000 Ba
```



Record 6
This record from Alexandria via LeMat-Bulk describes a PBEsol-optimized structure of NbCuSe2. The functional is SCAN.

Calculated values
The space-group type is No. 186. As for the total energy: -22.7651 eV/atom. For the uncorrected formation energy, the calculation gives -2.6 eV/f.u.

```
NbCuSe2
1.0
3.513 0.000 0.000
-1.757 3.042 0.000
0.000 0.000 13.754
Nb Se Cu
2 4 2
Direct
0.333 0.667 0.253 Nb
0.667 0.333 0.753 Nb
0.333 0.667 0.631 Se
0.667 0.333 0.131 Se
0.667 0.333 0.371 Se
0.333 0.667 0.871 Se
0.667 0.333 0.538 Cu
0.333 0.667 0.038 Cu
```



Record 7
This record from Alexandria via LeMat-Bulk describes a PBEsol-optimized structure of RbGaF3. The functional is SCAN.

Calculated values
The space-group type is No. 2. As for the total energy: -12.2591 eV/atom. For the uncorrected formation energy, the calculation gives -13.6 eV/f.u.

```
RbGaF3
1.0
-3.701 2.524 -1.085
-3.186 -2.945 4.009
-1.483 4.702 6.605
Ga F Rb
2 6 2
Direct
0.012 0.923 0.152 Ga
0.988 0.077 0.848 Ga
0.139 0.914 0.695 F
0.616 0.100 0.804 F
0.861 0.086 0.305 F
0.384 0.900 0.196 F
0.139 0.392 0.696 F
0.861 0.608 0.304 F
0.656 0.678 0.645 Rb
0.344 0.322 0.355 Rb
```



Record 8
This record from Alexandria via LeMat-Bulk describes a PBEsol-optimized structure of FeHg2Sb. The functional is SCAN.

Calculated values
The space-group type is No. 160. As for the total energy: -47.6688 eV/atom. For the uncorrected formation energy, the calculation gives 1.0 eV/f.u.

```
FeHg2Sb
1.0
-0.335 3.040 1.167
-2.457 1.893 -1.046
-6.034 -1.402 6.509
Fe Hg Sb
1 2 1
Direct
0.248 0.248 0.256 Fe
0.747 0.747 0.758 Hg
0.989 0.989 0.034 Hg
0.516 0.516 0.451 Sb
```